*a*
This record from the Alexandria database describes an optimized crystal structure of Mg8Tl2Pt. The functional is PBE.

## Properties
* calculated density: 5.44 g/cm³
* total magnetization: 0.000 μB per cell

```
Mg8Tl2Pt
1.0
-4.097 2.027 -0.479
-1.892 -4.065 -1.014
0.824 -0.725 11.931
Mg Tl Pt
8 2 1
direct
0.750 0.751 0.500
0.938 0.932 0.876
0.347 0.845 0.694
0.562 0.564 0.124
0.438 0.436 0.876
0.062 0.068 0.124
0.250 0.249 0.500
0.653 0.155 0.306
0.841 0.338 0.682
0.159 0.662 0.318
0.500 0.000 0.000
```



*b*
This record from the Alexandria database describes an optimized crystal structure of Mg8Tl2Pt. The functional is PBE.

## Properties
* calculated density: 5.46 g/cm³
* total magnetization: 0.000 μB per cell

```
Mg8Tl2Pt
1.0
-1.566 0.395 4.653
-5.064 -4.154 -1.351
7.491 -3.886 0.244
Mg Pt Tl
8 1 2
direct
0.364 0.119 0.729
0.371 0.604 0.743
0.002 0.773 0.005
0.629 0.396 0.257
0.636 0.881 0.271
0.182 0.191 0.364
0.818 0.809 0.636
0.998 0.227 0.995
0.500 0.000 0.000
0.819 0.320 0.639
0.181 0.680 0.361
```



Best to worst by energy: *a*, *b*.



*a*
This record from the Alexandria database describes an optimized crystal structure of Tm2MgPt. The functional is PBE.

## Properties
* calculated density: 9.58 g/cm³
* total magnetization: 0.000 μB per cell

```
Tm2MgPt
1.0
-2.796 -2.188 -0.775
2.815 -2.438 5.242
-5.137 4.797 4.990
Tm Mg Pt
4 2 2
direct
0.637 0.273 0.444
0.363 0.727 0.556
0.637 0.273 0.056
0.363 0.727 0.944
0.937 0.876 0.250
0.063 0.124 0.750
0.253 0.507 0.250
0.747 0.493 0.750
```



*b*
This record from the Alexandria database describes an optimized crystal structure of Tm2MgPt. The functional is PBE.

## Properties
* calculated density: 10.37 g/cm³
* total magnetization: 0.000 μB per cell

```
Tm2MgPt
1.0
5.015 0.000 0.000
2.508 4.344 0.000
2.508 1.448 4.095
Tm Pt Mg
2 1 1
direct
0.750 0.750 0.750
0.250 0.250 0.250
0.000 0.000 0.000
0.500 0.500 0.500
```



Best to worst by energy: *a*, *b*.



*a*
This record from the Alexandria database describes an optimized crystal structure of TmMg2Pt3. The functional is PBE.

## Properties
* calculated density: 12.66 g/cm³
* total magnetization: 0.000 μB per cell

```
TmMg2Pt3
1.0
3.374 0.000 0.000
0.000 3.374 0.000
0.000 0.000 9.255
Mg Pt Tm
2 3 1
direct
0.500 0.500 0.156
0.500 0.500 0.844
0.000 0.000 0.000
0.000 0.000 0.320
0.000 0.000 0.680
0.500 0.500 0.500
```



*b*
This record from the Alexandria database describes an optimized crystal structure of TmMg2Pt3. The functional is PBE.

## Properties
* calculated density: 12.56 g/cm³
* total magnetization: 0.000 μB per cell

```
TmMg2Pt3
1.0
4.632 0.000 0.000
-2.316 4.012 0.000
0.000 0.000 5.711
Pt Tm Mg
3 1 2
direct
0.000 0.000 0.500
0.667 0.333 0.821
0.333 0.667 0.179
0.000 0.000 0.000
0.333 0.667 0.658
0.667 0.333 0.342
```



Best to worst by energy: *a*, *b*.



*a*
This record from the Alexandria database describes an optimized crystal structure of MgV2Pt2. The functional is PBE.

## Properties
* calculated density: 10.81 g/cm³
* total magnetization: 0.000 μB per cell

```
MgV2Pt2
1.0
7.602 0.000 0.000
0.000 7.602 0.000
0.000 0.000 2.745
Pt Mg V
4 2 4
direct
0.180 0.680 0.500
0.320 0.180 0.500
0.680 0.820 0.500
0.820 0.320 0.500
0.500 0.500 0.000
0.000 0.000 0.000
0.610 0.110 0.000
0.390 0.890 0.000
0.110 0.390 0.000
0.890 0.610 0.000
```



*b*
This record from the Alexandria database describes an optimized crystal structure of MgV2Pt2. The functional is PBE.

## Properties
* calculated density: 10.78 g/cm³
* total magnetization: 0.000 μB per cell

```
MgV2Pt2
1.0
7.577 0.000 0.000
0.000 7.577 0.000
0.000 0.000 2.770
Pt V Mg
4 4 2
direct
0.369 0.869 0.000
0.869 0.631 0.000
0.131 0.369 0.000
0.631 0.131 0.000
0.165 0.665 0.500
0.665 0.835 0.500
0.335 0.165 0.500
0.835 0.335 0.500
0.000 0.000 0.000
0.500 0.500 0.000
```



Best to worst by energy: *a*, *b*.



*a*
This record from the Alexandria database describes an optimized crystal structure of MgPtW. The functional is PBE.

## Properties
* calculated density: 12.74 g/cm³
* total magnetization: 0.000 μB per cell

```
MgPtW
1.0
-2.906 2.434 -0.134
-2.362 -2.761 1.088
1.157 1.767 6.993
W Pt Mg
2 2 2
direct
0.000 0.000 0.500
0.500 0.500 0.500
0.500 0.000 0.780
0.000 0.500 0.220
0.000 0.500 0.847
0.500 0.000 0.153
```



*b*
This record from the Alexandria database describes an optimized crystal structure of MgPtW. The functional is PBE.

## Properties
* calculated density: 13.48 g/cm³
* total magnetization: 0.000 μB per cell

```
MgPtW
1.0
2.859 0.000 0.000
-1.429 2.476 0.000
0.000 0.000 7.020
Pt W Mg
1 1 1
direct
0.333 0.667 0.338
0.667 0.333 0.652
0.000 0.000 0.010
```



Best to worst by energy: *a*, *b*.



*a*
This record from the Alexandria database describes an optimized crystal structure of MgPtW. The functional is PBE.

## Properties
* calculated density: 12.69 g/cm³
* total magnetization: 0.000 μB per cell

```
MgPtW
1.0
7.878 0.000 0.000
0.000 3.189 0.000
0.000 0.000 8.400
Mg Pt W
4 4 4
direct
0.941 0.250 0.840
0.059 0.750 0.160
0.441 0.250 0.660
0.559 0.750 0.340
0.732 0.750 0.649
0.232 0.750 0.851
0.268 0.250 0.351
0.768 0.250 0.149
0.893 0.250 0.443
0.393 0.250 0.057
0.107 0.750 0.557
0.607 0.750 0.943
```



*b*
This record from the Alexandria database describes an optimized crystal structure of MgPtW. The functional is PBE.

## Properties
* calculated density: 13.64 g/cm³
* total magnetization: 0.000 μB per cell

```
MgPtW
1.0
-2.717 -1.700 2.573
4.653 -3.113 2.858
-0.486 3.539 1.825
W Mg Pt
2 2 2
direct
0.217 0.060 0.243
0.217 0.781 0.604
0.218 0.404 0.915
0.717 0.735 0.081
0.717 0.430 0.428
0.717 0.081 0.754
```



*c*
This record from the Alexandria database describes an optimized crystal structure of MgPtW. The functional is PBE.

## Properties
* calculated density: 13.70 g/cm³
* total magnetization: 0.000 μB per cell

```
MgPtW
1.0
2.834 0.001 0.000
-0.320 12.190 0.009
-0.112 -0.078 2.830
Pt W Mg
2 2 2
direct
0.560 0.492 0.895
0.524 0.170 0.859
0.600 0.836 0.935
0.999 0.013 0.334
0.042 0.335 0.376
0.078 0.647 0.413
```



*d*
This record from the Alexandria database describes an optimized crystal structure of MgPtW. The functional is PBE.

## Properties
* calculated density: 11.77 g/cm³
* total magnetization: 0.000 μB per cell

```
MgPtW
1.0
-3.886 -1.104 1.523
-2.336 2.863 2.233
-3.565 1.705 -1.740
W Pt Mg
1 1 1
direct
0.000 0.000 0.000
0.250 0.250 0.250
0.750 0.750 0.750
```



Best to worst by energy: *c*, *a*, *b*, *d*.



*a*
This record from the Alexandria database describes an optimized crystal structure of MgPtW. The functional is PBE.

## Properties
* calculated density: 13.92 g/cm³
* total magnetization: 0.000 μB per cell

```
MgPtW
1.0
-1.762 -7.781 0.523
3.727 -0.601 3.609
-3.065 0.917 3.317
Mg W Pt
4 4 4
direct
0.166 0.250 0.500
0.666 0.250 0.000
0.334 0.750 0.000
0.834 0.750 0.500
0.000 0.500 0.000
0.000 0.000 0.000
0.500 0.500 0.500
0.500 0.000 0.500
0.333 0.250 0.000
0.167 0.750 0.500
0.833 0.250 0.500
0.667 0.750 0.000
```



*b*
This record from the Alexandria database describes an optimized crystal structure of MgPtW. The functional is PBE.

## Properties
* calculated density: 13.70 g/cm³
* total magnetization: 0.000 μB per cell

```
MgPtW
1.0
-3.459 1.660 2.541
-2.757 -1.198 -6.970
-0.747 -2.724 0.764
W Mg Pt
2 2 2
direct
0.186 0.915 0.057
0.701 0.916 0.557
0.030 0.274 0.057
0.678 0.557 0.057
0.511 0.229 0.557
0.205 0.601 0.557
```



Best to worst by energy: *b*, *a*.



*a*
This record from the Alexandria database describes an optimized crystal structure of MgPtW. The functional is PBE.

## Properties
* calculated density: 13.64 g/cm³
* total magnetization: 0.000 μB per cell

```
MgPtW
1.0
-3.829 -1.733 -1.585
1.559 -5.511 4.721
-1.586 1.889 1.760
Mg Pt W
2 2 2
direct
0.451 0.568 0.297
0.991 0.262 0.143
0.493 0.234 0.628
0.949 0.597 0.812
0.970 0.904 0.465
0.472 0.927 0.976
```



*b*
This record from the Alexandria database describes an optimized crystal structure of MgPtW. The functional is PBE.

## Properties
* calculated density: 13.64 g/cm³
* total magnetization: 0.000 μB per cell

```
MgPtW
1.0
2.797 0.000 0.026
0.000 4.015 0.000
2.696 0.000 8.769
Mg W Pt
2 2 2
direct
0.036 0.902 0.322
0.725 0.402 0.131
0.054 0.402 0.802
0.709 0.902 0.651
0.377 0.902 0.980
0.385 0.402 0.473
```



Best to worst by energy: *a*, *b*.



*a*
This record from the Alexandria database describes an optimized crystal structure of MgPtW. The functional is PBE.

## Properties
* calculated density: 13.71 g/cm³
* total magnetization: 0.000 μB per cell

```
MgPtW
1.0
-1.944 -4.304 -1.539
1.268 -2.016 4.036
-7.382 2.126 3.381
Pt W Mg
4 4 4
direct
0.337 0.250 0.357
0.163 0.750 0.857
0.837 0.250 0.143
0.663 0.750 0.643
0.391 0.250 0.685
0.109 0.750 0.185
0.891 0.250 0.815
0.609 0.750 0.315
0.846 0.250 0.474
0.346 0.250 0.026
0.154 0.750 0.526
0.654 0.750 0.974
```



*b*
This record from the Alexandria database describes an optimized crystal structure of MgPtW. The functional is PBE.

## Properties
* calculated density: 12.02 g/cm³
* total magnetization: 2.047 μB per cell

```
MgPtW
1.0
4.287 0.000 0.000
2.143 3.713 0.000
2.143 1.238 3.500
Pt Mg W
1 1 1
direct
0.000 0.000 0.000
0.750 0.750 0.750
0.500 0.500 0.500
```



Best to worst by energy: *a*, *b*.



*a*
This record from the Alexandria database describes an optimized crystal structure of MgPtW. The functional is PBE.

## Properties
* calculated density: 13.56 g/cm³
* total magnetization: 0.000 μB per cell

```
MgPtW
1.0
-4.178 -0.127 1.462
-2.915 -5.290 -4.175
0.807 -2.119 2.121
W Pt Mg
2 2 2
direct
0.891 0.900 0.470
0.382 0.931 0.970
0.297 0.233 0.470
0.976 0.597 0.970
0.481 0.579 0.470
0.792 0.252 0.970
```



*b*
This record from the Alexandria database describes an optimized crystal structure of MgPtW. The functional is PBE.

## Properties
* calculated density: 13.61 g/cm³
* total magnetization: 0.000 μB per cell

```
MgPtW
1.0
-2.058 3.652 -3.833
-3.145 -4.875 -3.930
-2.640 0.822 0.368
Mg W Pt
2 2 2
direct
0.704 0.738 0.884
0.019 0.398 0.672
0.439 0.083 0.339
0.217 0.772 0.857
0.509 0.429 0.654
0.915 0.072 0.407
```



Best to worst by energy: *a*, *b*.



*a*
This record from the Alexandria database describes an optimized crystal structure of MgPtW. The functional is PBE.

## Properties
* calculated density: 13.88 g/cm³
* total magnetization: 0.000 μB per cell

```
MgPtW
1.0
-0.664 -0.040 -4.897
3.559 -1.664 -2.997
-3.074 -0.973 3.745
W Pt Mg
1 1 1
direct
0.327 0.327 0.000
0.670 0.670 0.000
0.004 0.004 0.000
```



*b*
This record from the Alexandria database describes an optimized crystal structure of MgPtW. The functional is PBE.

## Properties
* calculated density: 11.91 g/cm³
* total magnetization: 0.000 μB per cell

```
MgPtW
1.0
0.000 3.040 3.040
3.040 0.000 3.040
3.040 3.040 0.000
W Pt Mg
1 1 1
direct
0.250 0.250 0.250
0.500 0.500 0.500
0.750 0.750 0.750
```



Best to worst by energy: *a*, *b*.